Below is a relaxed CrInP2 crystal, with properties calculated at the GGA-PBE level.

Structure (POSCAR):
```
CrInP2
1.0
3.0982 -1.7972 0.0000
3.0982 1.7972 0.0000
-2.0933 0.0000 6.4262
Cr In P
1 1 2
Direct
0.0000 0.0000 0.0000 Cr
0.5000 0.5000 0.5000 In
0.2665 0.2665 0.8005 P
0.7335 0.7335 0.1995 P
```

Output
- Final energy: -23.278 eV per formula unit
- Symmetry: No. 12

---

Below is a relaxed CrInP2 crystal, with properties calculated at the GGA-PBE level.

Structure (POSCAR):
```
CrInP2
1.0
4.4763 0.0000 0.0000
0.0000 4.4763 0.0000
0.0000 0.0000 3.4068
Cr In P
1 1 2
Direct
0.0000 0.0000 0.0000 Cr
0.5000 0.5000 0.0000 In
0.0000 0.5000 0.5000 P
0.5000 0.0000 0.5000 P
```

Output
- Final energy: -21.606 eV per formula unit
- Symmetry: No. 123

---

Below is a relaxed CrInP2 crystal, with properties calculated at the GGA-PBE level.

Structure (POSCAR):
```
CrInP2
1.0
1.5523 0.8962 8.2579
-1.5523 0.8962 8.2579
0.0000 -1.7924 8.2579
Cr In P
1 1 2
Direct
0.0000 0.0000 0.0000 Cr
0.5000 0.5000 0.5000 In
0.2731 0.2731 0.2731 P
0.7269 0.7269 0.7269 P
```

Output
- Final energy: -23.209 eV per formula unit
- Symmetry: No. 166

---

Q: Which formula does entry 2 have?
A: CrInP2

---

Q: What is the formula in the third record?
A: CrInP2

---

Q: Which of these has the highest final energy?
A: number 2